NaScHg2F (PBE, optimized geometry); calculated density = 6.79 g cm⁻³; formation energy (no corrections) = -0.61 eV/atom; density of states at the Fermi level = 3.3 states/eV per cell
1.0
5.548 0.000 0.000
0.000 5.548 0.000
0.000 0.000 3.876
Na Sc Hg F
1 1 2 1
direct
0.000 0.000 0.000
0.500 0.500 0.500
0.000 0.500 0.000
0.500 0.000 0.000
0.000 0.000 0.500



NaSmHgF6 (PBE, optimized geometry); calculated density = 5.35 g cm⁻³; formation energy (no corrections) = -2.83 eV/atom; density of states at the Fermi level = 0.0 states/eV per cell
1.0
6.129 0.000 0.000
-3.065 5.308 0.000
0.000 0.000 9.308
Na Sm Hg F
2 2 2 12
direct
0.000 0.000 0.000
0.000 0.000 0.500
0.333 0.667 0.250
0.667 0.333 0.750
0.333 0.667 0.750
0.667 0.333 0.250
0.010 0.347 0.129
0.010 0.663 0.371
0.337 0.347 0.371
0.337 0.990 0.129
0.347 0.010 0.629
0.347 0.337 0.871
0.653 0.663 0.129
0.653 0.990 0.371
0.663 0.010 0.871
0.663 0.653 0.629
0.990 0.337 0.629
0.990 0.653 0.871



NaSnHgF6 (PBE, optimized geometry); calculated density = 4.85 g cm⁻³; formation energy (no corrections) = -2.21 eV/atom; density of states at the Fermi level = 6.3 states/eV per cell
1.0
5.943 0.000 0.000
-2.971 5.147 0.000
0.000 0.000 10.222
Na Sn Hg F
2 2 2 12
direct
0.333 0.667 0.250
0.667 0.333 0.750
0.333 0.667 0.750
0.667 0.333 0.250
0.000 0.000 0.000
0.000 0.000 0.500
0.042 0.391 0.641
0.042 0.651 0.859
0.349 0.391 0.859
0.349 0.958 0.641
0.391 0.042 0.141
0.391 0.349 0.359
0.609 0.651 0.641
0.609 0.958 0.859
0.651 0.042 0.359
0.651 0.609 0.141
0.958 0.349 0.141
0.958 0.609 0.359



NaSrHg2F8 (PBE, optimized geometry); calculated density = 6.12 g cm⁻³; formation energy (no corrections) = -2.16 eV/atom; density of states at the Fermi level = 10.5 states/eV per cell
1.0
-2.837 2.837 5.595
2.837 -2.837 5.595
2.837 2.837 -5.595
Na Sr Hg F
1 1 2 8
direct
0.000 0.000 0.000
0.750 0.250 0.500
0.250 0.750 0.500
0.500 0.500 0.000
0.138 0.124 0.510
0.138 0.628 0.014
0.372 0.386 0.510
0.372 0.862 0.986
0.614 0.124 0.986
0.614 0.628 0.490
0.876 0.386 0.014
0.876 0.862 0.490



Q: calculated density of number 3 (NaSnHgF6)?
A: 4.85 g cm⁻³



Copy entry 2 word for word.
NaSmHgF6 (PBE, optimized geometry); calculated density = 5.35 g cm⁻³; formation energy (no corrections) = -2.83 eV/atom; density of states at the Fermi level = 0.0 states/eV per cell
1.0
6.129 0.000 0.000
-3.065 5.308 0.000
0.000 0.000 9.308
Na Sm Hg F
2 2 2 12
direct
0.000 0.000 0.000
0.000 0.000 0.500
0.333 0.667 0.250
0.667 0.333 0.750
0.333 0.667 0.750
0.667 0.333 0.250
0.010 0.347 0.129
0.010 0.663 0.371
0.337 0.347 0.371
0.337 0.990 0.129
0.347 0.010 0.629
0.347 0.337 0.871
0.653 0.663 0.129
0.653 0.990 0.371
0.663 0.010 0.871
0.663 0.653 0.629
0.990 0.337 0.629
0.990 0.653 0.871



Q: What is the calculated density in the second record?
A: 5.35 g cm⁻³



Q: density of states at the Fermi level of number 3 (NaSnHgF6)?
A: 6.3 states/eV per cell